No. 1
{
  "formula": "ZrMn4",
  "functional": "PBE",
  "state": "relaxed",
  "lattice_angstrom": [[4.736, 0.000, 0.000], [0.000, 4.736, 0.000], [0.000, 0.000, 4.736]],
  "species": ["Zr", "Mn", "Mn", "Mn", "Mn"],
  "frac_coords": [[0.000, 0.000, 0.000], [0.000, 0.000, 0.500], [0.000, 0.500, 0.000], [0.500, 0.000, 0.000], [0.500, 0.500, 0.500]],
  "total_magnetization_mub_per_cell": 13.49,
  "delta_e_f_kj_per_mol_atoms": 146.6,
  "sg": "No. 221"
}

---

No. 2
{
  "formula": "ZrMn2",
  "functional": "PBE",
  "state": "relaxed",
  "lattice_angstrom": [[3.822, 0.000, 0.000], [-1.911, 3.310, 0.000], [0.000, 0.000, 7.155]],
  "species": ["Zr", "Zr", "Mn", "Mn", "Mn", "Mn"],
  "frac_coords": [[0.000, 0.000, 0.250], [0.000, 0.000, 0.750], [0.333, 0.667, 0.042], [0.333, 0.667, 0.458], [0.667, 0.333, 0.542], [0.667, 0.333, 0.958]],
  "total_magnetization_mub_per_cell": 0.00,
  "delta_e_f_kj_per_mol_atoms": 5.1,
  "sg": "No. 194"
}

---

No. 3
{
  "formula": "ZrMn",
  "functional": "PBE",
  "state": "relaxed",
  "lattice_angstrom": [[5.345, 0.000, 0.000], [0.000, 5.345, 0.000], [0.000, 0.000, 5.322]],
  "species": ["Zr", "Zr", "Zr", "Zr", "Mn", "Mn", "Mn", "Mn"],
  "frac_coords": [[0.196, 0.196, 0.000], [0.304, 0.696, 0.500], [0.696, 0.304, 0.500], [0.804, 0.804, 0.000], [0.176, 0.176, 0.500], [0.324, 0.676, 0.000], [0.676, 0.324, 0.000], [0.824, 0.824, 0.500]],
  "total_magnetization_mub_per_cell": 9.19,
  "delta_e_f_kj_per_mol_atoms": 41.2,
  "sg": "No. 136"
}

---

No. 4
{
  "formula": "ZrMn",
  "functional": "PBE",
  "state": "relaxed",
  "lattice_angstrom": [[0.000, 2.672, 2.672], [2.672, 0.000, 2.672], [2.672, 2.672, 0.000]],
  "species": ["Zr", "Mn"],
  "frac_coords": [[0.000, 0.000, 0.000], [0.500, 0.500, 0.500]],
  "total_magnetization_mub_per_cell": 2.00,
  "delta_e_f_kj_per_mol_atoms": 52.3,
  "sg": "No. 225"
}

---

No. 5
{
  "formula": "ZrMn2",
  "functional": "PBE",
  "state": "relaxed",
  "lattice_angstrom": [[-1.531, 1.872, 4.369], [1.531, -1.872, 4.369], [1.531, 1.872, -4.369]],
  "species": ["Zr", "Mn", "Mn"],
  "frac_coords": [[0.000, 0.000, 0.000], [0.325, 0.325, 0.000], [0.675, 0.675, 0.000]],
  "total_magnetization_mub_per_cell": 5.96,
  "delta_e_f_kj_per_mol_atoms": 19.4,
  "sg": "No. 71"
}

---

No. 6
{
  "formula": "ZrMn2",
  "functional": "PBE",
  "state": "relaxed",
  "lattice_angstrom": [[-1.432, 1.432, 5.316], [1.432, -1.432, 5.316], [1.432, 1.432, -5.316]],
  "species": ["Zr", "Mn", "Mn"],
  "frac_coords": [[0.000, 0.000, 0.000], [0.301, 0.301, 0.000], [0.699, 0.699, 0.000]],
  "total_magnetization_mub_per_cell": 0.00,
  "delta_e_f_kj_per_mol_atoms": 5.2,
  "sg": "No. 139"
}

---

No. 7
{
  "formula": "ZrMn",
  "functional": "PBE",
  "state": "relaxed",
  "lattice_angstrom": [[-3.857, 3.857, 2.289], [3.857, -3.857, 2.289], [3.857, 3.857, -2.289]],
  "species": ["Zr", "Zr", "Zr", "Zr", "Mn", "Mn", "Mn", "Mn"],
  "frac_coords": [[0.000, 0.294, 0.294], [0.000, 0.706, 0.706], [0.294, 0.000, 0.294], [0.706, 0.000, 0.706], [0.354, 0.354, 0.707], [0.354, 0.646, 0.000], [0.646, 0.354, 0.000], [0.646, 0.646, 0.293]],
  "total_magnetization_mub_per_cell": 0.00,
  "delta_e_f_kj_per_mol_atoms": 12.8,
  "sg": "No. 139"
}

---

No. 8
{
  "formula": "ZrMn7",
  "functional": "PBE",
  "state": "relaxed",
  "lattice_angstrom": [[0.000, 3.755, 3.755], [3.755, 0.000, 3.755], [3.755, 3.755, 0.000]],
  "species": ["Zr", "Mn", "Mn", "Mn", "Mn", "Mn", "Mn", "Mn"],
  "frac_coords": [[0.000, 0.000, 0.000], [0.000, 0.000, 0.500], [0.000, 0.500, 0.000], [0.000, 0.500, 0.500], [0.500, 0.000, 0.000], [0.500, 0.000, 0.500], [0.500, 0.500, 0.000], [0.500, 0.500, 0.500]],
  "total_magnetization_mub_per_cell": 9.97,
  "delta_e_f_kj_per_mol_atoms": 25.4,
  "sg": "No. 225"
}

---

No. 9
{
  "formula": "Zr6Mn7",
  "functional": "PBE",
  "state": "relaxed",
  "lattice_angstrom": [[4.259, -2.575, 0.000], [4.259, 2.575, 0.000], [-2.842, 0.000, 9.644]],
  "species": ["Zr", "Zr", "Zr", "Zr", "Zr", "Zr", "Mn", "Mn", "Mn", "Mn", "Mn", "Mn", "Mn"],
  "frac_coords": [[0.048, 0.048, 0.150], [0.153, 0.153, 0.454], [0.334, 0.334, 0.000], [0.666, 0.666, 0.000], [0.847, 0.847, 0.546], [0.952, 0.952, 0.850], [0.096, 0.595, 0.287], [0.402, 0.402, 0.714], [0.405, 0.904, 0.713], [0.500, 0.500, 0.500], [0.595, 0.096, 0.287], [0.598, 0.598, 0.286], [0.904, 0.405, 0.713]],
  "total_magnetization_mub_per_cell": 2.96,
  "delta_e_f_kj_per_mol_atoms": -9.7,
  "sg": "No. 12"
}

---

No. 10
{
  "formula": "ZrMn2",
  "functional": "PBE",
  "state": "relaxed",
  "lattice_angstrom": [[5.625, 0.000, 0.000], [0.000, 4.037, 0.000], [0.000, 0.000, 8.518]],
  "species": ["Zr", "Zr", "Zr", "Zr", "Mn", "Mn", "Mn", "Mn", "Mn", "Mn", "Mn", "Mn"],
  "frac_coords": [[0.158, 0.250, 0.106], [0.342, 0.750, 0.606], [0.658, 0.250, 0.394], [0.842, 0.750, 0.894], [0.081, 0.250, 0.745], [0.139, 0.250, 0.428], [0.361, 0.750, 0.928], [0.419, 0.750, 0.245], [0.581, 0.250, 0.755], [0.639, 0.250, 0.072], [0.861, 0.750, 0.572], [0.919, 0.750, 0.255]],
  "total_magnetization_mub_per_cell": 19.95,
  "delta_e_f_kj_per_mol_atoms": 14.8,
  "sg": "No. 62"
}

---

No. 11
{
  "formula": "ZrMn",
  "functional": "PBE",
  "state": "relaxed",
  "lattice_angstrom": [[-3.718, 3.718, 3.718], [3.718, -3.718, 3.718], [3.718, 3.718, -3.718]],
  "species": ["Zr", "Zr", "Zr", "Zr", "Mn", "Mn", "Mn", "Mn"],
  "frac_coords": [[0.000, 0.000, 0.437], [0.000, 0.437, 0.000], [0.437, 0.000, 0.000], [0.563, 0.563, 0.563], [0.000, 0.000, 0.773], [0.000, 0.773, 0.000], [0.227, 0.227, 0.227], [0.773, 0.000, 0.000]],
  "total_magnetization_mub_per_cell": 3.89,
  "delta_e_f_kj_per_mol_atoms": 117.5,
  "sg": "No. 217"
}

---

No. 12
{
  "formula": "Zr2Mn",
  "functional": "PBE",
  "state": "relaxed",
  "lattice_angstrom": [[-2.115, 2.115, 13.404], [2.115, -2.115, 13.404], [2.115, 2.115, -13.404]],
  "species": ["Zr", "Zr", "Zr", "Zr", "Zr", "Zr", "Zr", "Zr", "Mn", "Mn", "Mn", "Mn"],
  "frac_coords": [[0.038, 0.788, 0.250], [0.124, 0.374, 0.750], [0.212, 0.962, 0.250], [0.374, 0.124, 0.250], [0.626, 0.876, 0.750], [0.788, 0.038, 0.750], [0.876, 0.626, 0.250], [0.962, 0.212, 0.750], [0.288, 0.538, 0.750], [0.462, 0.712, 0.750], [0.538, 0.288, 0.250], [0.712, 0.462, 0.250]],
  "total_magnetization_mub_per_cell": 11.22,
  "delta_e_f_kj_per_mol_atoms": 15.3,
  "sg": "No. 141"
}

---

No. 13
{
  "formula": "Zr7Mn6",
  "functional": "PBE",
  "state": "relaxed",
  "lattice_angstrom": [[2.951, 1.704, 8.656], [-2.951, 1.704, 8.656], [0.000, -3.407, 8.656]],
  "species": ["Zr", "Zr", "Zr", "Zr", "Zr", "Zr", "Zr", "Mn", "Mn", "Mn", "Mn", "Mn", "Mn"],
  "frac_coords": [[0.000, 0.000, 0.000], [0.078, 0.078, 0.572], [0.078, 0.572, 0.078], [0.428, 0.922, 0.922], [0.572, 0.078, 0.078], [0.922, 0.428, 0.922], [0.922, 0.922, 0.428], [0.168, 0.168, 0.168], [0.350, 0.350, 0.350], [0.453, 0.453, 0.453], [0.547, 0.547, 0.547], [0.650, 0.650, 0.650], [0.832, 0.832, 0.832]],
  "total_magnetization_mub_per_cell": 13.82,
  "delta_e_f_kj_per_mol_atoms": 56.1,
  "sg": "No. 166"
}